! Sc2BeCd PBE-GGA relaxed; values from VASP
! Crystal system: tetragonal
! Final energy in eV/atom: -4.4986
! Energy above the most stable polymorph in this dataset in meV/atom: 0
! M_tot in Bohr magnetons per cell: 0.0
! ΔE_f in eV/atom: -0.172
! Space group: P4/mmm, No. 123
&SYSTEM
  ibrav = 0, nat = 4, ntyp = 3
/
ATOMIC_SPECIES
Sc 44.96 Sc.upf
Be 9.01 Be.upf
Cd 112.41 Cd.upf
CELL_PARAMETERS angstrom
3.254 0.000 0.000
0.000 3.254 0.000
0.000 0.000 7.136
ATOMIC_POSITIONS crystal
Sc 0.000 0.000 0.212
Sc 0.000 0.000 0.788
Be 0.500 0.500 0.000
Cd 0.500 0.500 0.500